# 1
Computed, not measured: crystalline Cu3Pd6Pt at its relaxed geometry at the PBE-GGA level of DFT.

## Properties
- Total magnetic moment: 0.000 μB/cell
- Mass density: 11.208 Mg/m³
- Space-group type: No. 14
- D(E_F): 12.53 states/eV/f.u.
- Energy relative to the elements: 0.08 eV/atom
- Final energy: -4.868 eV per atom

Cell: 7.2199 5.8196 10.0903 Å, 90.00 134.29 90.00°
Closest atoms and distances in Å follow each position.
Fractional coordinates of all 20 atoms:
1 Cu 0.0000 0.0000 0.0000  2 Cu 2.43, 4 Pd 2.51-2.52
2 Cu 0.0000 0.5000 0.5000  2 Cu 2.43, 4 Pd 2.51-2.52
3 Cu 0.2050 0.2149 0.4620  1 Cu 2.43, 1 Pt 2.51, 4 Pd 2.53-2.66
4 Cu 0.2050 0.2851 0.9620  1 Cu 2.43, 1 Pt 2.51, 4 Pd 2.53-2.66
5 Cu 0.7950 0.7149 0.0380  1 Cu 2.43, 1 Pt 2.51, 4 Pd 2.53-2.66
6 Cu 0.7950 0.7851 0.5380  1 Cu 2.43, 1 Pt 2.51, 4 Pd 2.53-2.66
7 Pd 0.0984 0.1246 0.6610  4 Cu 2.51-2.72, 1 Pt 2.60, 1 Pd 2.73
8 Pd 0.0984 0.3754 0.1610  4 Cu 2.51-2.72, 1 Pt 2.60, 1 Pd 2.73
9 Pd 0.2736 0.6092 0.8330  3 Cu 2.52-2.74, 1 Pt 2.61, 3 Pd 2.73-2.78
10 Pd 0.2736 0.8908 0.3330  3 Cu 2.52-2.74, 1 Pt 2.61, 3 Pd 2.73-2.78
11 Pd 0.4302 0.6701 0.1834  3 Cu 2.65-2.95, 6 Pd 2.76-2.88, 1 Pt 2.94
12 Pd 0.4302 0.8299 0.6834  3 Cu 2.65-2.95, 6 Pd 2.76-2.88, 1 Pt 2.94
13 Pd 0.5698 0.1701 0.3166  3 Cu 2.65-2.95, 6 Pd 2.76-2.88, 1 Pt 2.94
14 Pd 0.5698 0.3299 0.8166  3 Cu 2.65-2.95, 6 Pd 2.76-2.88, 1 Pt 2.94
15 Pd 0.7264 0.1092 0.6670  3 Cu 2.52-2.74, 1 Pt 2.61, 3 Pd 2.73-2.78
16 Pd 0.7264 0.3908 0.1670  3 Cu 2.52-2.74, 1 Pt 2.61, 3 Pd 2.73-2.78
17 Pd 0.9016 0.6246 0.8390  4 Cu 2.51-2.72, 1 Pt 2.60, 1 Pd 2.73
18 Pd 0.9016 0.8754 0.3390  4 Cu 2.51-2.72, 1 Pt 2.60, 1 Pd 2.73
19 Pt 0.5000 0.0000 0.0000  2 Cu 2.51, 4 Pd 2.60-2.61
20 Pt 0.5000 0.5000 0.5000  2 Cu 2.51, 4 Pd 2.60-2.61

***

# 2
Computed, not measured: crystalline Cu14PdPt at its relaxed geometry at the PBE-GGA level of DFT.

## Properties
- Total magnetic moment: 0.000 μB/cell
- Mass density: 9.884 Mg/m³
- Space-group type: No. 38
- D(E_F): 8.14 states/eV/f.u.
- Energy relative to the elements: -0.03 eV/atom
- Final energy: -4.319 eV per atom

Cell: 8.4310 5.1546 5.1546 Å, 63.30 90.00 90.00°
Closest atoms and distances in Å follow each position.
Fractional coordinates of all 16 atoms:
1 Cu 0.0000 0.9997 0.9997  12 Cu 2.54-2.70
2 Cu 0.0000 0.4973 0.9988  12 Cu 2.56-2.71
3 Cu 0.0000 0.5000 0.5000  12 Cu 2.53-2.70
4 Cu 0.0000 0.9988 0.4973  12 Cu 2.56-2.71
5 Cu 0.2422 0.1760 0.6747  10 Cu 2.53-2.71, 1 Pt 2.63, 1 Pd 2.63
6 Cu 0.2422 0.6747 0.1760  10 Cu 2.53-2.71, 1 Pt 2.63, 1 Pd 2.63
7 Cu 0.2459 0.6736 0.6736  11 Cu 2.56-2.70, 1 Pd 2.67
8 Cu 0.2474 0.1731 0.1731  11 Cu 2.56-2.70, 1 Pt 2.66
9 Cu 0.5000 0.3555 0.8527  2 Pd 2.57-2.58, 2 Pt 2.57-2.58, 8 Cu 2.60-2.72
10 Cu 0.5000 0.8527 0.3555  2 Pd 2.57-2.58, 2 Pt 2.57-2.58, 8 Cu 2.60-2.72
11 Cu 0.7526 0.1731 0.1731  11 Cu 2.56-2.70, 1 Pt 2.66
12 Cu 0.7541 0.6736 0.6736  11 Cu 2.56-2.70, 1 Pd 2.67
13 Cu 0.7578 0.1760 0.6747  10 Cu 2.53-2.71, 1 Pt 2.63, 1 Pd 2.63
14 Cu 0.7578 0.6747 0.1760  10 Cu 2.53-2.71, 1 Pt 2.63, 1 Pd 2.63
15 Pd 0.5000 0.8554 0.8554  10 Cu 2.57-2.67, 2 Pt 2.70
16 Pt 0.5000 0.3542 0.3542  10 Cu 2.57-2.66, 2 Pd 2.70

***

# 3
Computed, not measured: crystalline CuPd2Pt2 at its relaxed geometry at the PBE-GGA level of DFT.

## Properties
- Total magnetic moment: 0.000 μB/cell
- Mass density: 14.843 Mg/m³
- Space-group type: No. 12
- D(E_F): 9.57 states/eV/f.u.
- Energy relative to the elements: -0.07 eV/atom
- Final energy: -5.383 eV per atom

Cell: 7.3096 7.3096 2.7777 Å, 100.72 100.72 30.80°
Closest atoms and distances in Å follow each position.
Fractional coordinates of all 5 atoms:
1 Cu 0.0000 0.0000 0.0000  8 Pt 2.73-2.74, 2 Pd 2.74, 2 Cu 2.78
2 Pd 0.1983 0.1983 0.1984  1 Cu 2.74, 5 Pt 2.77-2.84, 6 Pd 2.78-2.79
3 Pd 0.8017 0.8017 0.8016  1 Cu 2.74, 5 Pt 2.77-2.84, 6 Pd 2.78-2.79
4 Pt 0.4037 0.4037 0.4034  3 Pt 2.66-2.78, 4 Cu 2.73-2.74, 5 Pd 2.77-2.84
5 Pt 0.5963 0.5963 0.5966  3 Pt 2.66-2.78, 4 Cu 2.73-2.74, 5 Pd 2.77-2.84

***

# 4
Computed, not measured: crystalline Cu8PdPt5 at its relaxed geometry at the PBE-GGA level of DFT.

## Properties
- Total magnetic moment: 0.000 μB/cell
- Mass density: 13.010 Mg/m³
- Space-group type: No. 82
- D(E_F): 11.17 states/eV/f.u.
- Energy relative to the elements: 0.07 eV/atom
- Final energy: -4.797 eV per atom

Cell: 6.4141 6.4141 6.4141 Å, 110.42 110.42 107.58°
Closest atoms and distances in Å follow each position.
Fractional coordinates of all 14 atoms:
1 Cu 0.1148 0.6817 0.7843  5 Pt 2.46-2.65, 1 Pd 2.50, 1 Cu 2.68
2 Cu 0.1711 0.2675 0.7718  4 Cu 2.56-2.85, 5 Pt 2.60-2.69, 1 Pd 2.83
3 Cu 0.3183 0.1027 0.4331  5 Pt 2.46-2.65, 1 Pd 2.50, 1 Cu 2.68
4 Cu 0.4957 0.3994 0.2282  4 Cu 2.56-2.85, 5 Pt 2.60-2.69, 1 Pd 2.83
5 Cu 0.6006 0.8289 0.0964  4 Cu 2.56-2.85, 5 Pt 2.60-2.69, 1 Pd 2.83
6 Cu 0.6696 0.8852 0.5669  5 Pt 2.46-2.65, 1 Pd 2.50, 1 Cu 2.68
7 Cu 0.7325 0.5043 0.9036  4 Cu 2.56-2.85, 5 Pt 2.60-2.69, 1 Pd 2.83
8 Cu 0.8973 0.3304 0.2157  5 Pt 2.46-2.65, 1 Pd 2.50, 1 Cu 2.68
9 Pd 0.0000 0.0000 0.0000  4 Cu 2.50
10 Pt 0.2190 0.6283 0.1712  8 Cu 2.51-2.69
11 Pt 0.3717 0.5429 0.5907  8 Cu 2.51-2.69
12 Pt 0.4571 0.0478 0.8288  8 Cu 2.51-2.69
13 Pt 0.7500 0.2500 0.5000  8 Cu 2.46-2.60
14 Pt 0.9522 0.7810 0.4093  8 Cu 2.51-2.69

***

# 5
Computed, not measured: crystalline CuPd2Pt5 at its relaxed geometry at the PBE-GGA level of DFT.

## Properties
- Total magnetic moment: 0.001 μB/cell
- Mass density: 17.068 Mg/m³
- Space-group type: No. 55
- D(E_F): 13.80 states/eV/f.u.
- Energy relative to the elements: -0.06 eV/atom
- Final energy: -5.643 eV per atom

Cell: 5.5862 11.2342 3.8812 Å, 90.00 90.00 90.00°
Closest atoms and distances in Å follow each position.
Fractional coordinates of all 16 atoms:
1 Cu 0.0000 0.0000 0.0000  4 Pd 2.72, 8 Pt 2.75-2.80
2 Cu 0.5000 0.5000 0.0000  4 Pd 2.72, 8 Pt 2.75-2.80
3 Pd 0.2409 0.1199 0.5000  2 Cu 2.72, 10 Pt 2.77-2.84
4 Pd 0.2591 0.6199 0.5000  2 Cu 2.72, 10 Pt 2.77-2.84
5 Pd 0.7409 0.3801 0.5000  2 Cu 2.72, 10 Pt 2.77-2.84
6 Pd 0.7591 0.8801 0.5000  2 Cu 2.72, 10 Pt 2.77-2.84
7 Pt 0.0000 0.5000 0.0000  6 Pt 2.76-2.86, 4 Pd 2.77, 2 Cu 2.79
8 Pt 0.0082 0.7549 0.0000  7 Pt 2.73-2.86, 1 Cu 2.75, 4 Pd 2.77-2.83
9 Pt 0.2429 0.3731 0.5000  6 Pt 2.73-2.79, 4 Pd 2.77-2.84, 2 Cu 2.80
10 Pt 0.2571 0.8731 0.5000  6 Pt 2.73-2.79, 4 Pd 2.77-2.84, 2 Cu 2.80
11 Pt 0.4918 0.2549 0.0000  7 Pt 2.73-2.86, 1 Cu 2.75, 4 Pd 2.77-2.83
12 Pt 0.5000 0.0000 0.0000  6 Pt 2.76-2.86, 4 Pd 2.77, 2 Cu 2.79
13 Pt 0.5082 0.7451 0.0000  7 Pt 2.73-2.86, 1 Cu 2.75, 4 Pd 2.77-2.83
14 Pt 0.7429 0.1269 0.5000  6 Pt 2.73-2.79, 4 Pd 2.77-2.84, 2 Cu 2.80
15 Pt 0.7571 0.6269 0.5000  6 Pt 2.73-2.79, 4 Pd 2.77-2.84, 2 Cu 2.80
16 Pt 0.9918 0.2451 0.0000  7 Pt 2.73-2.86, 1 Cu 2.75, 4 Pd 2.77-2.83

***

# 6
Computed, not measured: crystalline Cu4PdPt4 at its relaxed geometry at the PBE-GGA level of DFT.

## Properties
- Total magnetic moment: 0.000 μB/cell
- Mass density: 12.849 Mg/m³
- Space-group type: No. 137
- D(E_F): 7.82 states/eV/f.u.
- Energy relative to the elements: 0.14 eV/atom
- Final energy: -4.947 eV per atom

Cell: 5.2533 5.2533 10.6864 Å, 90.00 90.00 90.00°
Closest atoms and distances in Å follow each position.
Fractional coordinates of all 18 atoms:
1 Cu 0.0034 0.7500 0.0006  4 Pt 2.56-2.58, 4 Cu 2.59-2.66
2 Cu 0.2500 0.5034 0.4994  4 Pt 2.56-2.58, 4 Cu 2.59-2.66
3 Cu 0.2500 0.9966 0.4994  4 Pt 2.56-2.58, 4 Cu 2.59-2.66
4 Cu 0.4966 0.7500 0.0006  4 Pt 2.56-2.58, 4 Cu 2.59-2.66
5 Cu 0.5034 0.2500 0.9994  4 Pt 2.56-2.58, 4 Cu 2.59-2.66
6 Cu 0.7500 0.0034 0.5006  4 Pt 2.56-2.58, 4 Cu 2.59-2.66
7 Cu 0.7500 0.4966 0.5006  4 Pt 2.56-2.58, 4 Cu 2.59-2.66
8 Cu 0.9966 0.2500 0.9994  4 Pt 2.56-2.58, 4 Cu 2.59-2.66
9 Pd 0.2500 0.7500 0.7500  4 Cu 2.98, 8 Pt 3.05
10 Pd 0.7500 0.2500 0.2500  4 Cu 2.98, 8 Pt 3.05
11 Pt 0.0082 0.2500 0.6658  4 Pt 2.54-2.71, 4 Cu 2.56-2.58
12 Pt 0.2500 0.0082 0.1658  4 Pt 2.54-2.71, 4 Cu 2.56-2.58
13 Pt 0.2500 0.4918 0.1658  4 Pt 2.54-2.71, 4 Cu 2.56-2.58
14 Pt 0.4918 0.2500 0.6658  4 Pt 2.54-2.71, 4 Cu 2.56-2.58
15 Pt 0.5082 0.7500 0.3342  4 Pt 2.54-2.71, 4 Cu 2.56-2.58
16 Pt 0.7500 0.5082 0.8342  4 Pt 2.54-2.71, 4 Cu 2.56-2.58
17 Pt 0.7500 0.9918 0.8342  4 Pt 2.54-2.71, 4 Cu 2.56-2.58
18 Pt 0.9918 0.7500 0.3342  4 Pt 2.54-2.71, 4 Cu 2.56-2.58

***

Look up the final energy of the sixth one.
-4.947 eV per atom

***

Copy entry 2 word for word.
Computed, not measured: crystalline Cu14PdPt at its relaxed geometry at the PBE-GGA level of DFT.

## Properties
- Total magnetic moment: 0.000 μB/cell
- Mass density: 9.884 Mg/m³
- Space-group type: No. 38
- D(E_F): 8.14 states/eV/f.u.
- Energy relative to the elements: -0.03 eV/atom
- Final energy: -4.319 eV per atom

Cell: 8.4310 5.1546 5.1546 Å, 63.30 90.00 90.00°
Closest atoms and distances in Å follow each position.
Fractional coordinates of all 16 atoms:
1 Cu 0.0000 0.9997 0.9997  12 Cu 2.54-2.70
2 Cu 0.0000 0.4973 0.9988  12 Cu 2.56-2.71
3 Cu 0.0000 0.5000 0.5000  12 Cu 2.53-2.70
4 Cu 0.0000 0.9988 0.4973  12 Cu 2.56-2.71
5 Cu 0.2422 0.1760 0.6747  10 Cu 2.53-2.71, 1 Pt 2.63, 1 Pd 2.63
6 Cu 0.2422 0.6747 0.1760  10 Cu 2.53-2.71, 1 Pt 2.63, 1 Pd 2.63
7 Cu 0.2459 0.6736 0.6736  11 Cu 2.56-2.70, 1 Pd 2.67
8 Cu 0.2474 0.1731 0.1731  11 Cu 2.56-2.70, 1 Pt 2.66
9 Cu 0.5000 0.3555 0.8527  2 Pd 2.57-2.58, 2 Pt 2.57-2.58, 8 Cu 2.60-2.72
10 Cu 0.5000 0.8527 0.3555  2 Pd 2.57-2.58, 2 Pt 2.57-2.58, 8 Cu 2.60-2.72
11 Cu 0.7526 0.1731 0.1731  11 Cu 2.56-2.70, 1 Pt 2.66
12 Cu 0.7541 0.6736 0.6736  11 Cu 2.56-2.70, 1 Pd 2.67
13 Cu 0.7578 0.1760 0.6747  10 Cu 2.53-2.71, 1 Pt 2.63, 1 Pd 2.63
14 Cu 0.7578 0.6747 0.1760  10 Cu 2.53-2.71, 1 Pt 2.63, 1 Pd 2.63
15 Pd 0.5000 0.8554 0.8554  10 Cu 2.57-2.67, 2 Pt 2.70
16 Pt 0.5000 0.3542 0.3542  10 Cu 2.57-2.66, 2 Pd 2.70

***

Copy entry 2 word for word.
Computed, not measured: crystalline Cu14PdPt at its relaxed geometry at the PBE-GGA level of DFT.

## Properties
- Total magnetic moment: 0.000 μB/cell
- Mass density: 9.884 Mg/m³
- Space-group type: No. 38
- D(E_F): 8.14 states/eV/f.u.
- Energy relative to the elements: -0.03 eV/atom
- Final energy: -4.319 eV per atom

Cell: 8.4310 5.1546 5.1546 Å, 63.30 90.00 90.00°
Closest atoms and distances in Å follow each position.
Fractional coordinates of all 16 atoms:
1 Cu 0.0000 0.9997 0.9997  12 Cu 2.54-2.70
2 Cu 0.0000 0.4973 0.9988  12 Cu 2.56-2.71
3 Cu 0.0000 0.5000 0.5000  12 Cu 2.53-2.70
4 Cu 0.0000 0.9988 0.4973  12 Cu 2.56-2.71
5 Cu 0.2422 0.1760 0.6747  10 Cu 2.53-2.71, 1 Pt 2.63, 1 Pd 2.63
6 Cu 0.2422 0.6747 0.1760  10 Cu 2.53-2.71, 1 Pt 2.63, 1 Pd 2.63
7 Cu 0.2459 0.6736 0.6736  11 Cu 2.56-2.70, 1 Pd 2.67
8 Cu 0.2474 0.1731 0.1731  11 Cu 2.56-2.70, 1 Pt 2.66
9 Cu 0.5000 0.3555 0.8527  2 Pd 2.57-2.58, 2 Pt 2.57-2.58, 8 Cu 2.60-2.72
10 Cu 0.5000 0.8527 0.3555  2 Pd 2.57-2.58, 2 Pt 2.57-2.58, 8 Cu 2.60-2.72
11 Cu 0.7526 0.1731 0.1731  11 Cu 2.56-2.70, 1 Pt 2.66
12 Cu 0.7541 0.6736 0.6736  11 Cu 2.56-2.70, 1 Pd 2.67
13 Cu 0.7578 0.1760 0.6747  10 Cu 2.53-2.71, 1 Pt 2.63, 1 Pd 2.63
14 Cu 0.7578 0.6747 0.1760  10 Cu 2.53-2.71, 1 Pt 2.63, 1 Pd 2.63
15 Pd 0.5000 0.8554 0.8554  10 Cu 2.57-2.67, 2 Pt 2.70
16 Pt 0.5000 0.3542 0.3542  10 Cu 2.57-2.66, 2 Pd 2.70